(1)
# NiTeHN2 PBE optimized geometry
# * density: 6.8 g/cm³
data_NiTeHN2
_chemical_formula_sum 'Ni1 Te1 H1 N2'
_space_group_name_H-M_alt 'P 1'
_space_group_IT_number 1
_space_group_name_Hall 'P 1'
_cell_length_a 3.838
_cell_length_b 3.838
_cell_length_c 3.580
_cell_angle_alpha 90.00
_cell_angle_beta 90.00
_cell_angle_gamma 90.00
loop_
_atom_site_label
_atom_site_type_symbol
_atom_site_fract_x
_atom_site_fract_y
_atom_site_fract_z
Ni1 Ni 0.000 0.000 0.000
Te1 Te 0.500 0.500 0.000
H1 H 0.500 0.500 0.500
N1 N 0.000 0.500 0.500
N2 N 0.500 0.000 0.500

---

(2)
# NiTeHN2 PBE optimized geometry
# * density: 5.1 g/cm³
data_NiTeHN2
_chemical_formula_sum 'Ni1 Te1 H1 N2'
_space_group_name_H-M_alt 'P 1'
_space_group_IT_number 1
_space_group_name_Hall 'P 1'
_cell_length_a 3.548
_cell_length_b 3.548
_cell_length_c 5.549
_cell_angle_alpha 90.00
_cell_angle_beta 90.00
_cell_angle_gamma 90.00
loop_
_atom_site_label
_atom_site_type_symbol
_atom_site_fract_x
_atom_site_fract_y
_atom_site_fract_z
Ni1 Ni 0.000 0.000 0.000
Te1 Te 0.000 0.000 0.500
H1 H 0.500 0.500 0.500
N1 N 0.000 0.500 0.000
N2 N 0.500 0.000 0.000

---

Short version: (2) is the most stable of them.